The following is a DFT calculation (GGA-PBE) of Sr2Li6CdAg after structural relaxation.

Cell and atoms, written as CIF:
```
data_Sr2Li6CdAg
_cell_length_a 7.228
_cell_length_b 7.403
_cell_length_c 10.364
_cell_angle_alpha 90.00
_cell_angle_beta 90.00
_cell_angle_gamma 90.00
_space_group_name_H-M_alt 'I m m m'
_space_group_IT_number 71
_space_group_name_Hall '-I 2 2'
loop_
_atom_site_label
_atom_site_fract_x
_atom_site_fract_y
_atom_site_fract_z
_atom_site_occupancy
Sr1 0.000 0.000 0.250 1
Li1 0.000 0.500 0.245 1
Li2 0.245 0.255 0.000 1
Cd1 0.000 0.500 0.500 1
Ag1 0.000 0.500 0.000 1
```

Values from the calculation:
Calculated formation energy (eV per formula unit): -0.18
Uncorrected energy (eV/atom): -1.879

The following is a DFT calculation (GGA-PBE) of CsRb2Sr after structural relaxation.

Cell and atoms, written as CIF:
```
data_CsRb2Sr
_cell_length_a 4.735
_cell_length_b 4.735
_cell_length_c 14.768
_cell_angle_alpha 90.00
_cell_angle_beta 90.00
_cell_angle_gamma 90.00
_space_group_name_H-M_alt 'P 4/m m m'
_space_group_IT_number 123
_space_group_name_Hall '-P 4 2'
loop_
_atom_site_label
_atom_site_fract_x
_atom_site_fract_y
_atom_site_fract_z
_atom_site_occupancy
Cs1 0.000 0.000 0.000 1
Rb1 0.500 0.500 0.277 1
Sr1 0.000 0.000 0.500 1
```

Values from the calculation:
Calculated formation energy (eV per formula unit): 0.42
Relative energy among the computed polymorphs (meV per atom): 1
Uncorrected energy (eV/atom): -1.013

The following is a DFT calculation (GGA-PBE) of PuTlIO6 after structural relaxation.

Cell and atoms, written as CIF:
```
data_PuTlIO6
_cell_length_a 5.895
_cell_length_b 5.911
_cell_length_c 5.930
_cell_angle_alpha 91.36
_cell_angle_beta 119.29
_cell_angle_gamma 90.11
_space_group_name_H-M_alt 'P 1'
_space_group_IT_number 1
loop_
_space_group_symop_operation_xyz
'x,y,z'
loop_
_atom_site_label
_atom_site_fract_x
_atom_site_fract_y
_atom_site_fract_z
_atom_site_occupancy
Pu1 0.000 0.000 0.000 1
Tl1 0.701 0.494 0.298 1
I1 0.321 0.996 0.668 1
O1 0.071 0.183 0.678 1
O2 0.071 0.815 0.355 1
O3 0.237 0.205 0.236 1
O4 0.318 0.814 0.920 1
O5 0.671 0.182 0.950 1
O6 0.761 0.793 0.768 1
```

Values from the calculation:
Formation energy without anion corrections (meV/atom): -1347.3
Uncorrected energy (eV/atom): -6.680

The following is a DFT calculation (GGA-PBE) of Ce14PuPa after structural relaxation.

Cell and atoms, written as CIF:
```
data_Ce14PuPa
_cell_length_a 9.368
_cell_length_b 9.385
_cell_length_c 9.388
_cell_angle_alpha 90.00
_cell_angle_beta 90.00
_cell_angle_gamma 90.00
_space_group_name_H-M_alt 'A m m 2'
_space_group_IT_number 38
loop_
_space_group_symop_operation_xyz
'x,y,z'
'-x,-y,z'
'-x,y,z'
'x,-y,z'
'x,y+1/2,z+1/2'
'-x,-y+1/2,z+1/2'
'-x,y+1/2,z+1/2'
'x,-y+1/2,z+1/2'
loop_
_atom_site_label
_atom_site_fract_x
_atom_site_fract_y
_atom_site_fract_z
_atom_site_occupancy
Ce1 0.000 0.000 0.000 1
Ce2 0.000 0.000 0.500 1
Ce3 0.000 0.250 0.250 1
Ce4 0.252 0.000 0.250 1
Ce5 0.252 0.000 0.750 1
Ce6 0.252 0.250 0.000 1
Ce7 0.500 0.250 0.250 1
Pu1 0.500 0.000 0.000 1
Pa1 0.500 0.000 0.500 1
```

Values from the calculation:
Calculated formation energy (eV per formula unit): 0.34
Uncorrected energy (eV/atom): -6.660

The following is a DFT calculation (GGA-PBE) of AlW2Au after structural relaxation.

Cell and atoms, written as CIF:
```
data_AlW2Au
_cell_length_a 2.8384
_cell_length_b 2.8384
_cell_length_c 28.0782
_cell_angle_alpha 90.00
_cell_angle_beta 90.00
_cell_angle_gamma 120.00
_space_group_name_H-M_alt 'R -3 m'
_space_group_IT_number 166
_space_group_name_Hall '-R 3 2"'
loop_
_atom_site_label
_atom_site_fract_x
_atom_site_fract_y
_atom_site_fract_z
_atom_site_occupancy
Al1 0.0000 0.0000 0.0000 1
W1 0.0000 0.0000 0.2522 1
Au1 0.0000 0.0000 0.5000 1
```

Values from the calculation:
Calculated formation energy (eV per formula unit): 1.15
Uncorrected energy (eV/atom): -7.945

The following is a DFT calculation (GGA-PBE) of AgN2F after structural relaxation.

Cell and atoms, written as CIF:
```
data_AgN2F
_cell_length_a 5.401
_cell_length_b 5.401
_cell_length_c 5.401
_cell_angle_alpha 90.00
_cell_angle_beta 90.00
_cell_angle_gamma 90.00
_space_group_name_H-M_alt 'F m -3 m'
_space_group_IT_number 225
_space_group_name_Hall '-F 4 2 3'
loop_
_atom_site_label
_atom_site_fract_x
_atom_site_fract_y
_atom_site_fract_z
_atom_site_occupancy
Ag1 0.000 0.000 0.000 1
N1 0.250 0.250 0.250 1
F1 0.000 0.000 0.500 1
```

Values from the calculation:
Relative energy among the computed polymorphs (meV per atom): 2422
Formation energy without anion corrections (meV/atom): 2003.5
Uncorrected energy (eV/atom): -3.340

The following is a DFT calculation (GGA-PBE) of TaP after structural relaxation.

Cell and atoms, written as CIF:
```
data_TaP
_cell_length_a 9.496
_cell_length_b 9.496
_cell_length_c 3.414
_cell_angle_alpha 90.00
_cell_angle_beta 90.00
_cell_angle_gamma 90.00
_space_group_name_H-M_alt 'I 4/m'
_space_group_IT_number 87
_space_group_name_Hall '-I 4'
loop_
_atom_site_label
_atom_site_fract_x
_atom_site_fract_y
_atom_site_fract_z
_atom_site_occupancy
Ta1 0.121 0.335 0.000 1
P1 0.095 0.797 0.000 1
```

Values from the calculation:
Calculated formation energy (eV per formula unit): -0.65
Uncorrected energy (eV/atom): -8.955

The following is a DFT calculation (GGA-PBE) of BaAcZnHg after structural relaxation.

Cell and atoms, written as CIF:
```
data_BaAcZnHg
_cell_length_a 4.054
_cell_length_b 4.054
_cell_length_c 8.198
_cell_angle_alpha 90.00
_cell_angle_beta 90.00
_cell_angle_gamma 90.00
_space_group_name_H-M_alt 'P 4 m m'
_space_group_IT_number 99
loop_
_space_group_symop_operation_xyz
'x,y,z'
'-y,x,z'
'-x,-y,z'
'y,-x,z'
'-x,y,z'
'y,x,z'
'x,-y,z'
'-y,-x,z'
loop_
_atom_site_label
_atom_site_fract_x
_atom_site_fract_y
_atom_site_fract_z
_atom_site_occupancy
Ba1 0.000 0.000 0.000 1
Ac1 0.000 0.000 0.484 1
Zn1 0.500 0.500 0.269 1
Hg1 0.500 0.500 0.723 1
```

Values from the calculation:
Calculated formation energy (eV per formula unit): -1.43
Relative energy among the computed polymorphs (meV per atom): 0
Uncorrected energy (eV/atom): -2.258

- Among the records above, which one has the lowest uncorrected energy?
  TaP

- uncorrected energy of number 6 (AgN2F)?
  -3.340 eV/atom